(w)
Computed, not measured: a relaxed La2ZnHgPt crystal at the PBE-GGA level of DFT.

abc: 5.624 4.725 5.624
angles: 90.00 90.00 90.00
Fractional positions:
Hg 0.000 0.500 0.000
La 0.000 0.000 0.500
La 0.500 0.000 0.000
Zn 0.000 0.000 0.000
Pt 0.500 0.500 0.500

Calculated values
size of the total moment = 0.00 μB per atom
SG = P4/mmm, No. 123
crystal system = tetragonal

(x)
Computed, not measured: a relaxed La2ZnHgPt crystal at the PBE-GGA level of DFT.

abc: 4.652 7.519 7.802
angles: 109.05 90.00 90.00
Fractional positions:
Hg 0.250 0.672 0.346
Zn 0.250 0.551 0.672
Pt 0.250 0.882 0.916
La 0.250 0.135 0.345
La 0.250 0.291 0.949
La 0.750 0.709 0.051
La 0.750 0.865 0.655
Zn 0.750 0.449 0.328
Pt 0.750 0.118 0.084
Hg 0.750 0.328 0.654

Calculated values
size of the total moment = 0.00 μB per atom
SG = P2_1/m, No. 11
crystal system = monoclinic

Sorted by energy, starting with the most stable: (x), (w).

(w)
Computed, not measured: a relaxed LaPuHg4 crystal at the PBE-GGA level of DFT.

abc: 5.110 6.140 6.140
angles: 92.14 65.34 65.34
Last column: magnetic moment on the atom in μB.
Fractional positions:
Hg 0.245 0.421 0.088  0.00
Hg 0.754 0.912 0.579  0.00
Pu 0.500 0.500 0.500  5.57
Hg 0.754 0.579 0.912  0.00
La 0.000 0.000 0.000  0.16
Hg 0.245 0.088 0.421  0.00

Calculated values
size of the total moment = 1.02 μB per atom
SG = C2/m, No. 12
crystal system = monoclinic

(x)
Computed, not measured: a relaxed LaPuHg4 crystal at the PBE-GGA level of DFT.

abc: 3.330 6.129 8.899
angles: 90.01 89.99 122.91
Last column: magnetic moment on the atom in μB.
Fractional positions:
Hg 0.001 0.497 0.334  0.00
Hg 0.501 0.997 0.168  0.00
La 0.501 0.497 0.998  0.09
Hg 0.002 0.497 0.662  0.00
Hg 0.501 0.997 0.829  0.00
Pu 0.002 0.997 0.498  5.58

Calculated values
size of the total moment = 1.00 μB per atom
SG = Pmmm, No. 47
crystal system = orthorhombic

Sorted by energy, starting with the most stable: (x), (w).

(w)
Computed, not measured: a relaxed RbLa2Hg2 crystal at the PBE-GGA level of DFT.

abc: 9.621 9.621 3.620
angles: 90.00 90.00 90.00
Fractional positions:
La 0.120 0.380 0.000
La 0.620 0.120 0.000
La 0.880 0.620 0.000
Hg 0.827 0.327 0.500
Rb 0.000 0.000 0.000
Hg 0.327 0.173 0.500
Hg 0.673 0.827 0.500
Hg 0.173 0.673 0.500
La 0.380 0.880 0.000
Rb 0.500 0.500 0.000

Calculated values
size of the total moment = 0.00 μB per atom
SG = P4/mbm, No. 127
crystal system = tetragonal

(x)
Computed, not measured: a relaxed RbLa2Hg2 crystal at the PBE-GGA level of DFT.

abc: 4.958 4.958 8.425
angles: 72.89 72.89 90.00
Fractional positions:
Hg 0.601 0.601 0.797
Hg 0.399 0.399 0.203
La 0.750 0.250 0.500
Rb 0.000 0.000 0.000
La 0.250 0.750 0.500

Calculated values
size of the total moment = 0.00 μB per atom
SG = I4/mmm, No. 139
crystal system = tetragonal

Sorted by energy, starting with the most stable: (w), (x).

(w)
Computed, not measured: a relaxed La4ReHg crystal at the PBE-GGA level of DFT.

abc: 6.441 8.137 8.137
angles: 112.55 100.00 100.00
Fractional positions:
Hg 0.750 0.623 0.377
Hg 0.250 0.377 0.623
La 0.049 0.938 0.277
La 0.109 0.360 0.205
La 0.549 0.277 0.938
Re 0.750 0.998 0.002
La 0.391 0.795 0.640
La 0.609 0.205 0.360
La 0.891 0.640 0.795
Re 0.250 0.002 0.998
La 0.451 0.723 0.062
La 0.951 0.062 0.723

Calculated values
size of the total moment = 0.00 μB per atom
SG = C2/c, No. 15
crystal system = monoclinic

(x)
Computed, not measured: a relaxed La4ReHg crystal at the PBE-GGA level of DFT.

abc: 6.212 6.212 6.212
angles: 60.00 60.00 60.00
Fractional positions:
La 0.377 0.377 0.377
La 0.377 0.377 0.870
Re 0.750 0.750 0.750
La 0.377 0.870 0.377
La 0.870 0.377 0.377
Hg 0.000 0.000 0.000

Calculated values
size of the total moment = 0.00 μB per atom
SG = F-43m, No. 216
crystal system = cubic

Sorted by energy, starting with the most stable: (w), (x).

(w)
Computed, not measured: a relaxed LaRe3Hg crystal at the PBE-GGA level of DFT.

abc: 4.868 4.868 4.868
angles: 90.00 90.00 90.00
Fractional positions:
Hg 0.500 0.500 0.500
Re 0.000 0.500 0.000
La 0.000 0.000 0.000
Re 0.500 0.000 0.000
Re 0.000 0.000 0.500

Calculated values
size of the total moment = 0.00 μB per atom
SG = Pm-3m, No. 221
crystal system = cubic

(x)
Computed, not measured: a relaxed LaRe3Hg crystal at the PBE-GGA level of DFT.

abc: 4.977 4.977 4.977
angles: 90.00 90.00 90.00
Fractional positions:
Re 0.000 0.500 0.000
Re 0.500 0.000 0.000
Re 0.000 0.000 0.500
La 0.500 0.500 0.500
Hg 0.000 0.000 0.000

Calculated values
size of the total moment = 0.00 μB per atom
SG = Pm-3m, No. 221
crystal system = cubic

Sorted by energy, starting with the most stable: (x), (w).

(w)
Computed, not measured: a relaxed LaReHg3 crystal at the PBE-GGA level of DFT.

abc: 5.996 5.996 5.996
angles: 90.00 90.00 90.00
Last column: magnetic moment on the atom in μB.
Fractional positions:
Re 0.500 0.500 0.500  3.95
Hg 0.000 0.000 0.500  -0.02
La 0.000 0.000 0.000  -0.48
Hg 0.000 0.500 0.000  -0.07
Hg 0.500 0.000 0.000  -0.13

Calculated values
size of the total moment = 0.65 μB per atom
SG = Pm-3m, No. 221
crystal system = cubic

(x)
Computed, not measured: a relaxed LaReHg3 crystal at the PBE-GGA level of DFT.

abc: 5.204 5.204 5.204
angles: 90.00 90.00 90.00
Fractional positions:
Hg 0.000 0.500 0.000
Re 0.000 0.000 0.000
Hg 0.500 0.000 0.000
Hg 0.000 0.000 0.500
La 0.500 0.500 0.500

Calculated values
size of the total moment = 0.00 μB per atom
SG = Pm-3m, No. 221
crystal system = cubic

Sorted by energy, starting with the most stable: (x), (w).

(w)
Computed, not measured: a relaxed La3HgRh crystal at the PBE-GGA level of DFT.

abc: 5.542 5.542 5.542
angles: 90.00 90.00 90.00
Fractional positions:
Hg 0.500 0.500 0.500
Rh 0.000 0.000 0.000
La 0.000 0.000 0.500
La 0.500 0.000 0.000
La 0.000 0.500 0.000

Calculated values
size of the total moment = 0.00 μB per atom
SG = Pm-3m, No. 221
crystal system = cubic

(x)
Computed, not measured: a relaxed La3HgRh crystal at the PBE-GGA level of DFT.

abc: 5.938 6.941 8.948
angles: 109.55 96.51 114.92
Fractional positions:
Hg 0.369 0.764 0.519
La 0.075 0.202 0.232
La 0.221 0.358 0.670
La 0.925 0.798 0.768
Rh 0.233 0.302 0.970
Rh 0.767 0.698 0.030
La 0.672 0.216 0.882
La 0.328 0.784 0.118
Hg 0.631 0.236 0.481
La 0.779 0.642 0.330

Calculated values
size of the total moment = 0.00 μB per atom
SG = P-1, No. 2
crystal system = triclinic

Sorted by energy, starting with the most stable: (x), (w).

(w)
Computed, not measured: a relaxed La6Hg2Rh crystal at the PBE-GGA level of DFT.

abc: 3.886 9.061 9.061
angles: 120.05 90.00 90.00
Fractional positions:
La 0.000 0.761 0.761
La 0.500 0.594 0.999
La 0.000 0.000 0.240
Hg 0.000 0.333 0.666
Hg 0.000 0.666 0.333
La 0.500 0.406 0.406
La 0.000 0.240 0.000
La 0.500 0.999 0.594
Rh 0.500 0.002 0.002

Calculated values
size of the total moment = 0.00 μB per atom
SG = Amm2, No. 38
crystal system = orthorhombic

(x)
Computed, not measured: a relaxed La6Hg2Rh crystal at the PBE-GGA level of DFT.

abc: 7.214 7.632 10.956
angles: 90.00 93.34 90.00
Fractional positions:
La 0.692 0.204 0.551
Hg 0.450 0.090 0.266
Hg 0.950 0.410 0.766
La 0.192 0.296 0.051
Rh 0.000 0.000 0.500
La 0.189 0.318 0.450
Rh 0.500 0.500 0.000
La 0.689 0.182 0.950
La 0.311 0.818 0.050
Hg 0.550 0.910 0.734
La 0.308 0.796 0.449
La 0.808 0.704 0.949
Hg 0.050 0.590 0.234
La 0.119 0.011 0.753
La 0.619 0.489 0.253
La 0.381 0.511 0.747
La 0.811 0.682 0.550
La 0.881 0.989 0.247

Calculated values
size of the total moment = 0.00 μB per atom
SG = P2_1/c, No. 14
crystal system = monoclinic

Sorted by energy, starting with the most stable: (w), (x).